(1)
Hf2Zr4Si3C3 after structural relaxation, computed with PBE.

a b c (Å): 5.7221 5.7221 13.9770
angles (deg): 90.03 101.80 119.94
Closest atoms and distances in Å follow each position.
Positions (direct):
C 0.3345 0.1693 0.0000  2 Hf 2.26-2.27, 4 Zr 2.32-2.33
C 0.0000 0.5000 0.0000  2 Hf 2.26, 4 Zr 2.32
C 0.6655 0.8307 0.0000  2 Hf 2.26-2.27, 4 Zr 2.32-2.33
C 0.3306 0.6655 0.4999  2 Hf 2.26-2.27, 4 Zr 2.32-2.33
C 0.0000 0.0000 0.5000  2 Hf 2.26, 4 Zr 2.32
C 0.6694 0.3345 0.5001  2 Hf 2.26-2.27, 4 Zr 2.32-2.33
Hf 0.7293 0.5315 0.0908  3 C 2.26-2.27
Hf 0.9407 0.6385 0.4092  3 C 2.26-2.27
Hf 0.0593 0.3615 0.5908  3 C 2.26-2.27
Hf 0.2707 0.4685 0.9092  3 C 2.26-2.27
Si 0.5202 0.5647 0.2496  2 Hf 2.78, 4 Zr 2.84-2.93, 1 Si 2.92
Si 0.1561 0.9061 0.2500  2 Hf 2.84, 4 Zr 2.84, 2 Si 3.15
Si 0.8151 0.2706 0.2504  2 Hf 2.78, 4 Zr 2.84-2.93, 1 Si 2.92
Si 0.1849 0.7294 0.7496  2 Hf 2.78, 4 Zr 2.84-2.93, 1 Si 2.92
Si 0.8439 0.0939 0.7500  2 Hf 2.84, 4 Zr 2.84, 2 Si 3.15
Si 0.4798 0.4353 0.7504  2 Hf 2.78, 4 Zr 2.84-2.93, 1 Si 2.92
Zr 0.3981 0.8654 0.0970  3 C 2.32-2.33
Zr 0.0620 0.1976 0.0970  3 C 2.32-2.33
Zr 0.6006 0.9650 0.4030  3 C 2.32-2.33
Zr 0.2685 0.3011 0.4030  3 C 2.32-2.33
Zr 0.7315 0.6989 0.5970  3 C 2.32-2.33
Zr 0.3994 0.0350 0.5970  3 C 2.32-2.33
Zr 0.9380 0.8024 0.9030  3 C 2.32-2.33
Zr 0.6019 0.1346 0.9030  3 C 2.32-2.33

## Properties
Final energy, eV for the cell shown: -214.5
Crystal system: monoclinic
Space-group type: C2/c
Total moment, μB per formula unit: 0.001



(2)
Sm2HfC2 after structural relaxation, computed with PBE.

a b c (Å): 7.0089 5.2448 10.6844
angles (deg): 90.00 90.00 90.00
Closest atoms and distances in Å follow each position.
Positions (direct):
C 0.6723 0.2500 0.0573  1 Hf 2.16
C 0.9033 0.7500 0.2463  2 Hf 2.18-2.34
C 0.4033 0.7500 0.2537  2 Hf 2.18-2.34
C 0.1723 0.2500 0.4427  1 Hf 2.16
C 0.8277 0.7500 0.5573  1 Hf 2.16
C 0.5967 0.2500 0.7463  2 Hf 2.18-2.34
C 0.0967 0.2500 0.7537  2 Hf 2.18-2.34
C 0.3277 0.7500 0.9427  1 Hf 2.16
Hf 0.1720 0.7500 0.1168  3 C 2.16-2.34
Hf 0.6720 0.7500 0.3832  3 C 2.16-2.34
Hf 0.3280 0.2500 0.6168  3 C 2.16-2.34
Hf 0.8280 0.2500 0.8832  3 C 2.16-2.34
Sm 0.6484 0.7500 0.0696  5 C 2.60-2.63
Sm 0.9118 0.2500 0.2321  3 C 2.51-2.63
Sm 0.4118 0.2500 0.2679  3 C 2.51-2.63
Sm 0.1484 0.7500 0.4304  5 C 2.60-2.63
Sm 0.8516 0.2500 0.5696  5 C 2.60-2.63
Sm 0.5882 0.7500 0.7321  3 C 2.51-2.63
Sm 0.0882 0.7500 0.7679  3 C 2.51-2.63
Sm 0.3516 0.2500 0.9304  5 C 2.60-2.63

## Properties
Final energy, eV for the cell shown: -154.9
Crystal system: orthorhombic
Space-group type: Pnma
Total moment, μB per formula unit: 0.003